The following is a DFT calculation (PBE) of a geometry-optimized TiCuPtRh structure.

Output
DOS(E_F)   0.19 states/eV per atom
Formation energy   -0.67 eV per atom
Space-group type   Pmmm
Mass density   12.0 g/cm³
E above lowest polymorph   0 meV/atom

Cell lengths 3.5811, 3.8886, 4.0765 Å; angles 90.00, 90.00, 90.00 degrees
With the nearest neighbours (Å) after each atom.
Fractional positions:
1 Ti 0.0000 0.0000 0.0000  4 Rh 2.64, 4 Pt 2.71, 4 Cu 2.82
2 Cu 0.0000 0.5000 0.5000  4 Pt 2.64, 4 Rh 2.71, 4 Ti 2.82
3 Pt 0.5000 0.0000 0.5000  4 Cu 2.64, 4 Ti 2.71, 4 Rh 2.82
4 Rh 0.5000 0.5000 0.0000  4 Ti 2.64, 4 Cu 2.71, 4 Pt 2.82



The following is a DFT calculation (PBE) of a geometry-optimized TmCuPtRh structure.

Output
DOS(E_F)   0.70 states/eV per atom
Formation energy   -0.74 eV per atom
Space-group type   Pmmm
Mass density   13.6 g/cm³
E above lowest polymorph   0 meV/atom

Cell lengths 3.8368, 4.0478, 4.1834 Å; angles 90.00, 90.00, 90.00 degrees
With the nearest neighbours (Å) after each atom.
Fractional positions:
1 Tm 0.0000 0.0000 0.0000  4 Rh 2.79, 4 Pt 2.84, 4 Cu 2.91
2 Cu 0.0000 0.5000 0.5000  4 Pt 2.79, 4 Rh 2.84, 4 Tm 2.91
3 Pt 0.5000 0.0000 0.5000  4 Cu 2.79, 4 Tm 2.84, 4 Rh 2.91
4 Rh 0.5000 0.5000 0.0000  4 Tm 2.79, 4 Cu 2.84, 4 Pt 2.91



The following is a DFT calculation (PBE) of a geometry-optimized TmCuPtRh structure.

Output
DOS(E_F)   0.44 states/eV per atom
Formation energy   -0.62 eV per atom
Space-group type   F-43m
Mass density   13.3 g/cm³
E above lowest polymorph   117 meV/atom

Cell lengths 4.5449, 4.5449, 4.5449 Å; angles 60.00, 60.00, 60.00 degrees
With the nearest neighbours (Å) after each atom.
Fractional positions:
1 Tm 0.0000 0.0000 0.0000  4 Rh 2.78, 4 Pt 2.78
2 Cu 0.5000 0.5000 0.5000  4 Rh 2.78, 4 Pt 2.78
3 Pt 0.2500 0.2500 0.2500  4 Cu 2.78, 4 Tm 2.78
4 Rh 0.7500 0.7500 0.7500  4 Cu 2.78, 4 Tm 2.78



The following is a DFT calculation (PBE) of a geometry-optimized UCuPtRh structure.

Output
DOS(E_F)   1.05 states/eV per atom
Formation energy   -0.39 eV per atom
Space-group type   F-43m
Mass density   14.4 g/cm³

Cell lengths 4.6105, 4.6105, 4.6105 Å; angles 60.00, 60.00, 60.00 degrees
With the nearest neighbours (Å) after each atom.
Fractional positions:
1 U 0.0000 0.0000 0.0000  4 Rh 2.82, 4 Pt 2.82
2 Cu 0.5000 0.5000 0.5000  4 Pt 2.82, 4 Rh 2.82
3 Pt 0.7500 0.7500 0.7500  4 Cu 2.82, 4 U 2.82
4 Rh 0.2500 0.2500 0.2500  4 Cu 2.82, 4 U 2.82